The following is a PBEsol calculation of a geometry-optimized BaCuSe2 structure, from Alexandria via LeMat-Bulk.

Cell: 4.4666 4.8894 4.8900 Å, 90.00 90.00 90.00°
Closest atoms and distances in Å follow each position.
Sites, in units of the cell vectors:
Se (0.0000, 0.0000, 0.1216)  2 Cu 2.44
Se (0.0000, 0.5000, 0.6277)  2 Cu 2.44-2.45
Ba (0.5000, 0.0000, 0.6223)  8 Se 3.31
Cu (0.0000, 0.5000, 0.1284)  4 Se 2.44-2.45

Computed properties:
For the density of states at the Fermi level, the calculation gives 0.402 states/eV per atom. Its space group is Pmm2, No. 25. Its formation energy (no corrections) is -979.2 meV/atom. The volume comes out at 106.8 Å³/cell. As for the raw total energy: -4.525 eV per atom.

The following is a PBEsol calculation of a geometry-optimized Ba2CuSe structure, from Alexandria via LeMat-Bulk.

Cell: 4.6512 4.6501 6.4903 Å, 90.00 90.00 90.00°
Closest atoms and distances in Å follow each position.
Sites, in units of the cell vectors:
Ba (0.6251, 0.0000, 0.5000)  2 Cu 3.25, 4 Se 3.29
Se (0.1252, 0.5000, 0.5000)  6 Ba 3.25-3.29
Cu (0.6251, 0.0000, 0.0000)  6 Ba 3.25-3.29
Ba (0.1245, 0.5000, 0.0000)  2 Se 3.25, 4 Cu 3.29

Computed properties:
For the density of states at the Fermi level, the calculation gives 0.713 states/eV per atom. Its space group is P4/mmm, No. 123. Its formation energy (no corrections) is -815.3 meV/atom. The volume comes out at 140.4 Å³/cell. As for the raw total energy: -3.936 eV per atom.

The following is a PBEsol calculation of a geometry-optimized BaCu2Se structure, from Alexandria via LeMat-Bulk.

Cell: 4.4243 4.5942 5.7934 Å, 113.36 85.86 90.00°
Closest atoms and distances in Å follow each position.
Sites, in units of the cell vectors:
Se (0.0000, 0.0000, 0.0000)  2 Cu 2.32
Cu (0.9989, 0.2179, 0.4358)  1 Se 2.32, 2 Cu 2.40
Ba (0.5000, 0.5000, 0.0000)  4 Se 3.19
Cu (0.0011, 0.7821, 0.5642)  1 Se 2.32, 2 Cu 2.40

Computed properties:
For the density of states at the Fermi level, the calculation gives 0.477 states/eV per atom. Its space group is C2/m, No. 12. Its formation energy (no corrections) is -284.7 meV/atom. The volume comes out at 107.8 Å³/cell. As for the raw total energy: -3.952 eV per atom.

The following is a PBEsol calculation of a geometry-optimized Ba4CuSe structure, from Alexandria via LeMat-Bulk.

Cell: 6.8837 6.8837 6.8837 Å, 60.00 60.00 60.00°
Closest atoms and distances in Å follow each position.
Sites, in units of the cell vectors:
Ba (0.8783, 0.3739, 0.3739)  6 Ba 3.41-3.47
Se (0.0000, 0.0000, 0.0000)  12 Ba 4.03, 4 Cu 4.22
Ba (0.3739, 0.3739, 0.8783)  6 Ba 3.41-3.47
Ba (0.3739, 0.3739, 0.3739)  6 Ba 3.41-3.47
Ba (0.3739, 0.8783, 0.3739)  6 Ba 3.41-3.47
Cu (0.7500, 0.7500, 0.7500)  12 Ba 4.04, 4 Se 4.22

Computed properties:
For the density of states at the Fermi level, the calculation gives 1.197 states/eV per atom. Its space group is F-43m, No. 216. Its formation energy (no corrections) is 368.8 meV/atom. The volume comes out at 230.6 Å³/cell. As for the raw total energy: -2.428 eV per atom.

The following is a PBEsol calculation of a geometry-optimized BaCuSe2 structure, from Alexandria via LeMat-Bulk.

Cell: 5.2020 5.2020 7.4186 Å, 69.48 69.48 60.00°
Closest atoms and distances in Å follow each position.
Sites, in units of the cell vectors:
Cu (0.0000, 0.0000, 0.0000)  2 Se 2.19
Ba (0.5000, 0.5000, 0.5000)  6 Se 3.23
Se (0.8923, 0.8923, 0.3230)  1 Cu 2.19
Se (0.1077, 0.1077, 0.6770)  1 Cu 2.19

Computed properties:
For the density of states at the Fermi level, the calculation gives 1.317 states/eV per atom. Its space group is R-3m, No. 166. Its formation energy (no corrections) is -687.1 meV/atom. The volume comes out at 159.0 Å³/cell. As for the raw total energy: -4.233 eV per atom.

The following is a PBEsol calculation of a geometry-optimized BaCu2Se2 structure, from Alexandria via LeMat-Bulk.

Cell: 4.0019 4.0019 7.0582 Å, 106.47 106.47 90.00°
Closest atoms and distances in Å follow each position.
Sites, in units of the cell vectors:
Se (0.6370, 0.6370, 0.2741)  4 Cu 2.48
Cu (0.2500, 0.7500, 0.5000)  4 Se 2.48
Ba (0.0000, 0.0000, 0.0000)  8 Se 3.34
Cu (0.7500, 0.2500, 0.5000)  4 Se 2.48
Se (0.3630, 0.3630, 0.7259)  4 Cu 2.48

Computed properties:
For the density of states at the Fermi level, the calculation gives 0.037 states/eV per atom. Its space group is I4/mmm, No. 139. Its formation energy (no corrections) is -867.2 meV/atom. The volume comes out at 103.6 Å³/cell. As for the raw total energy: -4.571 eV per atom.

The following is a PBEsol calculation of a geometry-optimized BaCu2Se2 structure, from Alexandria via LeMat-Bulk.

Cell: 4.1572 9.4089 10.6798 Å, 90.00 90.00 90.00°
Closest atoms and distances in Å follow each position.
Sites, in units of the cell vectors:
Cu (0.2500, 0.0540, 0.1136)  4 Se 2.43-2.57
Se (0.2500, 0.4745, 0.1683)  4 Cu 2.45-2.52
Se (0.2500, 0.3429, 0.5396)  4 Cu 2.43-2.57
Se (0.2500, 0.9745, 0.3317)  4 Cu 2.45-2.52
Cu (0.2500, 0.5540, 0.3864)  4 Se 2.43-2.57
Se (0.7500, 0.0255, 0.6683)  4 Cu 2.45-2.52
Ba (0.2500, 0.7430, 0.6760)  7 Se 3.18-3.38, 6 Cu 3.38-3.55
Cu (0.7500, 0.9460, 0.8864)  4 Se 2.43-2.57
Cu (0.7500, 0.9211, 0.4573)  4 Se 2.46-2.52, 2 Cu 2.71
Cu (0.7500, 0.4211, 0.0427)  4 Se 2.46-2.52, 2 Cu 2.71
Cu (0.2500, 0.5789, 0.9573)  4 Se 2.46-2.52, 2 Cu 2.71
Se (0.7500, 0.5255, 0.8317)  4 Cu 2.45-2.52
Ba (0.7500, 0.7570, 0.1760)  7 Se 3.18-3.38, 6 Cu 3.38-3.55
Cu (0.7500, 0.4460, 0.6136)  4 Se 2.43-2.57
Ba (0.2500, 0.2430, 0.8240)  7 Se 3.18-3.38, 6 Cu 3.38-3.55
Ba (0.7500, 0.2570, 0.3240)  7 Se 3.18-3.38, 6 Cu 3.38-3.55
Se (0.7500, 0.6571, 0.4604)  4 Cu 2.43-2.57
Se (0.7500, 0.1571, 0.0396)  4 Cu 2.43-2.57
Se (0.2500, 0.8429, 0.9604)  4 Cu 2.43-2.57
Cu (0.2500, 0.0789, 0.5427)  4 Se 2.46-2.52, 2 Cu 2.71

Computed properties:
Its space group is Pnma, No. 62. Its formation energy (no corrections) is -894.8 meV/atom. The volume comes out at 417.7 Å³/cell. As for the raw total energy: -4.598 eV per atom.

The following is a PBEsol calculation of a geometry-optimized BaCuSe2 structure, from Alexandria via LeMat-Bulk.

Cell: 3.5610 3.5610 7.2371 Å, 90.00 90.00 90.00°
Closest atoms and distances in Å follow each position.
Sites, in units of the cell vectors:
Se (0.0000, 0.0000, 0.2936)  4 Cu 2.93, 1 Se 2.99
Cu (0.5000, 0.5000, 0.5000)  8 Se 2.93
Se (0.0000, 0.0000, 0.7064)  4 Cu 2.93, 1 Se 2.99
Ba (0.5000, 0.5000, 0.0000)  8 Se 3.29, 4 Ba 3.56, 2 Cu 3.62

Computed properties:
For the density of states at the Fermi level, the calculation gives 0.924 states/eV per atom. Its space group is P4/mmm, No. 123. Its formation energy (no corrections) is -435.7 meV/atom. The volume comes out at 91.8 Å³/cell. As for the raw total energy: -3.982 eV per atom.

The following is a PBEsol calculation of a geometry-optimized BaCuSe2 structure, from Alexandria via LeMat-Bulk.

Cell: 3.9777 4.9155 4.9155 Å, 90.00 90.00 90.00°
Closest atoms and distances in Å follow each position.
Sites, in units of the cell vectors:
Se (0.0000, 0.0000, 0.5000)  4 Ba 3.16, 4 Cu 3.16, 4 Se 3.48
Ba (0.5000, 0.5000, 0.5000)  8 Se 3.16, 4 Cu 3.48
Cu (0.5000, 0.0000, 0.0000)  8 Se 3.16, 4 Ba 3.48
Se (0.0000, 0.5000, 0.0000)  4 Ba 3.16, 4 Cu 3.16, 4 Se 3.48

Computed properties:
For the density of states at the Fermi level, the calculation gives 0.623 states/eV per atom. Its space group is P4/mmm, No. 123. Its formation energy (no corrections) is -486.0 meV/atom. The volume comes out at 96.1 Å³/cell. As for the raw total energy: -4.032 eV per atom.

The following is a PBEsol calculation of a geometry-optimized BaCu2Se structure, from Alexandria via LeMat-Bulk.

Cell: 4.3520 4.3520 4.7852 Å, 90.00 90.00 90.00°
Closest atoms and distances in Å follow each position.
Sites, in units of the cell vectors:
Cu (0.0000, 0.5000, 0.0000)  4 Cu 3.08, 4 Se 3.23, 4 Ba 3.23
Cu (0.5000, 0.0000, 0.0000)  4 Cu 3.08, 4 Ba 3.23, 4 Se 3.23
Se (0.5000, 0.5000, 0.5000)  4 Ba 3.08, 8 Cu 3.23
Ba (0.0000, 0.0000, 0.5000)  4 Se 3.08, 8 Cu 3.23

Computed properties:
For the density of states at the Fermi level, the calculation gives 0.354 states/eV per atom. Its space group is P4/mmm, No. 123. Its formation energy (no corrections) is 36.8 meV/atom. The volume comes out at 90.6 Å³/cell. As for the raw total energy: -3.630 eV per atom.

The following is a PBEsol calculation of a geometry-optimized BaCuSe2 structure, from Alexandria via LeMat-Bulk.

Cell: 4.5382 4.5382 5.7800 Å, 69.44 69.44 82.74°
Closest atoms and distances in Å follow each position.
Sites, in units of the cell vectors:
Ba (0.5000, 0.5000, 0.0000)  6 Se 3.17-3.36, 2 Cu 3.28
Cu (0.0000, 0.0000, 0.5000)  2 Se 2.24
Se (0.1913, 0.1913, 0.7264)  1 Cu 2.24
Se (0.8087, 0.8087, 0.2736)  1 Cu 2.24

Computed properties:
For the density of states at the Fermi level, the calculation gives 0.393 states/eV per atom. Its space group is C2/m, No. 12. Its formation energy (no corrections) is -844.3 meV/atom. The volume comes out at 104.4 Å³/cell. As for the raw total energy: -4.390 eV per atom.

The following is a PBEsol calculation of a geometry-optimized BaCu6Te6Se structure, from Alexandria via LeMat-Bulk.

Cell: 6.8434 6.8708 6.9585 Å, 90.00 91.50 90.00°
Closest atoms and distances in Å follow each position.
Sites, in units of the cell vectors:
Cu (0.2131, 0.8071, 0.8035)  1 Se 2.52, 3 Te 2.57-2.63, 3 Cu 2.66-2.69
Te (0.5179, 0.9971, 0.7041)  3 Cu 2.57-2.58, 1 Te 2.85
Ba (0.5000, 0.4994, 0.5000)  6 Cu 3.54-3.67, 12 Te 3.70-3.76
Cu (0.7869, 0.8071, 0.1965)  1 Se 2.52, 3 Te 2.57-2.63, 3 Cu 2.66-2.69
Te (0.4821, 0.9971, 0.2959)  3 Cu 2.57-2.58, 1 Te 2.85
Cu (0.7891, 0.1938, 0.2118)  1 Se 2.39, 3 Te 2.53-2.58, 1 Cu 2.66
Te (0.2924, 0.4946, 0.9943)  3 Cu 2.57-2.60, 1 Te 2.84
Te (0.7076, 0.4946, 0.0057)  3 Cu 2.57-2.60, 1 Te 2.84
Te (0.0000, 0.2924, 0.5000)  2 Cu 2.53, 1 Te 2.82
Te (0.0000, 0.7035, 0.5000)  4 Cu 2.61-2.63, 1 Te 2.82
Cu (0.8201, 0.7976, 0.8134)  1 Se 2.36, 3 Te 2.58-2.61
Cu (0.2109, 0.1938, 0.7882)  1 Se 2.39, 3 Te 2.53-2.58, 1 Cu 2.66
Se (0.0000, 0.0255, 0.0000)  6 Cu 2.36-2.52
Cu (0.1799, 0.7976, 0.1866)  1 Se 2.36, 3 Te 2.58-2.61

Computed properties:
For the density of states at the Fermi level, the calculation gives 0.090 states/eV per atom. Its space group is P2, No. 3. Its formation energy (no corrections) is -287.6 meV/atom. The volume comes out at 327.1 Å³/cell. As for the raw total energy: -4.085 eV per atom.

The following is a PBEsol calculation of a geometry-optimized Ba2UCu4Se6 structure, from Alexandria via LeMat-Bulk.

Cell: 7.1847 8.8353 9.7108 Å, 90.00 90.00 107.75°
Closest atoms and distances in Å follow each position.
Sites, in units of the cell vectors:
Ba (0.4830, 0.8752, 0.2675)  8 Se 3.17-3.44
Ba (0.4830, 0.3752, 0.2325)  8 Se 3.17-3.44
Cu (0.0648, 0.2650, 0.7466)  4 Se 2.43-2.53, 2 Cu 2.62-2.67
U (0.0000, 0.5000, 0.5000)  6 Se 2.81-2.85
U (0.0000, 0.0000, 0.0000)  6 Se 2.81-2.85
Cu (0.0037, 0.8599, 0.5006)  4 Se 2.39-2.57, 3 Cu 2.49-2.67
Cu (0.0037, 0.3599, 0.9994)  4 Se 2.39-2.57, 3 Cu 2.49-2.67
Se (0.2875, 0.8510, 0.9481)  2 Cu 2.39-2.44
Se (0.1086, 0.0290, 0.2830)  4 Cu 2.52-2.57
Se (0.8914, 0.4710, 0.7830)  4 Cu 2.52-2.57
Se (0.1086, 0.5290, 0.2170)  4 Cu 2.52-2.57
Se (0.7104, 0.2104, 0.4376)  2 Cu 2.40-2.43
Ba (0.5170, 0.6248, 0.7675)  8 Se 3.17-3.44
Cu (0.9352, 0.7350, 0.2534)  4 Se 2.43-2.53, 2 Cu 2.62-2.67
Se (0.2896, 0.2896, 0.9376)  2 Cu 2.40-2.43
Ba (0.5170, 0.1248, 0.7325)  8 Se 3.17-3.44
Se (0.7104, 0.7104, 0.0624)  2 Cu 2.40-2.43
Cu (0.0648, 0.7650, 0.7534)  4 Se 2.43-2.53, 2 Cu 2.62-2.67
Se (0.8914, 0.9710, 0.7170)  4 Cu 2.52-2.57
Se (0.7125, 0.6490, 0.4481)  2 Cu 2.39-2.44
Cu (0.9963, 0.1401, 0.4994)  4 Se 2.39-2.57, 3 Cu 2.49-2.67
Se (0.2896, 0.7896, 0.5624)  2 Cu 2.40-2.43
Cu (0.9963, 0.6401, 0.0006)  4 Se 2.39-2.57, 3 Cu 2.49-2.67
Se (0.2875, 0.3510, 0.5519)  2 Cu 2.39-2.44
Cu (0.9352, 0.2350, 0.2466)  4 Se 2.43-2.53, 2 Cu 2.62-2.67
Se (0.7125, 0.1490, 0.0519)  2 Cu 2.39-2.44

Computed properties:
For the density of states at the Fermi level, the calculation gives 0.544 states/eV per atom. Its space group is P2_1/c, No. 14. Its formation energy (no corrections) is -976.5 meV/atom. The volume comes out at 587.1 Å³/cell. As for the raw total energy: -5.353 eV per atom.